# 1
First-principles (PBE-GGA) data for an optimized crystal structure of MnCdRu2, as listed in the Alexandria database.

Cell lengths 3.0275, 4.5120, 9.0353 Å; angles 90.00, 90.00, 90.00 degrees
Last column: nearest neighbours and their distance in Å.
Space group Imm2 (No. 44)
Inequivalent atoms, fractional coordinates:
Mn: 0.0000 0.0000 0.0000 (multiplicity 2)  6 Ru 2.63-2.73, 2 Cd 2.81
Cd: 0.0000 0.5000 0.2381 (multiplicity 2)  6 Ru 2.72-2.84, 2 Mn 2.81, 2 Cd 3.03
Ru: 0.0000 0.0000 0.4727 (multiplicity 2)  2 Ru 2.61, 4 Mn 2.73, 2 Cd 2.84
Ru: 0.0000 0.5000 0.7374 (multiplicity 2)  2 Ru 2.61, 2 Mn 2.63, 4 Cd 2.72

Computed properties:
- ΔE_f: 0.35 eV/atom

***

# 2
First-principles (PBE-GGA) data for an optimized crystal structure of Sm6SbPb3Se2, as listed in the Alexandria database.

Cell lengths 19.4389, 4.3486, 8.9428 Å; angles 90.00, 106.34, 90.00 degrees
Last column: nearest neighbours and their distance in Å.
Space group C2/m (No. 12)
Inequivalent atoms, fractional coordinates:
Sm: 0.0066 0.0000 0.2490 (multiplicity 4)  1 Se 3.02, 2 Sb 3.09, 3 Pb 3.15-3.20
Sm: 0.1670 0.5000 0.0914 (multiplicity 4)  2 Se 3.06, 1 Sb 3.12, 3 Pb 3.15-3.20
Sm: 0.1708 0.5000 0.5722 (multiplicity 4)  3 Se 3.00-3.04, 3 Pb 3.18-3.20
Sb: 0.0000 0.5000 0.0000 (multiplicity 2)  6 Sm 3.09-3.12
Pb: 0.0000 0.5000 0.5000 (multiplicity 2)  6 Sm 3.15-3.20
Pb: 0.1643 0.0000 0.8272 (multiplicity 4)  6 Sm 3.15-3.20
Se: 0.1684 0.0000 0.3332 (multiplicity 4)  6 Sm 3.00-3.06

Computed properties:
- E_form (uncorrected): -1044 meV per atom

***

# 3
First-principles (PBE-GGA) data for an optimized crystal structure of Sr2Ir2Pd, as listed in the Alexandria database.

Cell lengths 6.9427, 6.9427, 4.7417 Å; angles 90.00, 90.00, 90.00 degrees
Last column: nearest neighbours and their distance in Å.
Space group P4/mbm (No. 127)
Inequivalent atoms, fractional coordinates:
Sr: 0.1802 0.3198 0.0000 (multiplicity 4)  6 Ir 3.05-3.20
Ir: 0.1242 0.6242 0.5000 (multiplicity 4)  1 Ir 2.44
Pd: 0.0000 0.0000 0.5000 (multiplicity 2)  4 Ir 2.75

Computed properties:
- ΔE_f: -0.14 eV/atom

***

# 4
First-principles (PBE-GGA) data for an optimized crystal structure of TlPdPtO2, as listed in the Alexandria database.

Cell lengths 5.9442, 4.6513, 6.3427 Å; angles 90.00, 103.47, 90.00 degrees
Last column: nearest neighbours and their distance in Å.
Space group P2/c (No. 13)
Inequivalent atoms, fractional coordinates:
Tl: 0.0000 0.1491 0.2500 (multiplicity 2)  2 O 2.67
Pd: 0.5000 0.0000 0.0000 (multiplicity 2)  2 O 2.41
Pt: 0.5000 0.4951 0.7500 (multiplicity 2)  4 O 2.04-2.05
O: 0.2811 0.4399 0.9534 (multiplicity 4)  2 Pt 2.04-2.05

Computed properties:
- E_form (uncorrected): -232 meV per atom

***

# 5
First-principles (PBE-GGA) data for an optimized crystal structure of Pm6ZrS8, as listed in the Alexandria database.

Cell lengths 11.2987, 11.2987, 11.2987 Å; angles 90.00, 90.00, 90.00 degrees
Last column: nearest neighbours and their distance in Å.
Space group Fm-3m (No. 225)
Inequivalent atoms, fractional coordinates:
Pm: 0.0000 0.2500 0.2500 (multiplicity 24)  6 S 2.82-2.83
Zr: 0.0000 0.0000 0.0000 (multiplicity 4)  6 S 2.71
S: 0.0000 0.0000 0.2401 (multiplicity 24)  1 Zr 2.71, 4 Pm 2.83
S: 0.2500 0.2500 0.2500 (multiplicity 8)  6 Pm 2.82

Computed properties:
- E_form (uncorrected): -1967 meV per atom

***

# 6
First-principles (PBE-GGA) data for an optimized crystal structure of HoHfMg, as listed in the Alexandria database.

Cell lengths 3.3008, 3.3005, 13.7635 Å; angles 90.00, 90.05, 90.00 degrees
Last column: nearest neighbours and their distance in Å.
Space group P2_1/m (No. 11)
Inequivalent atoms, fractional coordinates:
Ho: 0.2495 0.2500 0.2534 (multiplicity 2)  4 Ho 3.30, 4 Hf 3.32, 4 Mg 3.39
Hf: 0.2498 0.2500 0.5754 (multiplicity 2)  8 Hf 3.12-3.30, 4 Ho 3.32
Mg: 0.2494 0.2500 0.9252 (multiplicity 2)  8 Mg 3.11-3.30, 4 Ho 3.39

Computed properties:
- ΔE_f: 0.01 eV/atom
- Polymorph energy (0 for the lowest one): 0.0 kJ per mole of atoms

***

no.,N(E_F) (states/eV per cell)
1,8.4
2,11.1
3,4.4
4,7.1
5,37.3
6,7.0